[1]
Y3ReOs | PBE-GGA | relaxed

Cell: 5.270 5.270 5.270 Å, 90.00 90.00 90.00°
Positions (direct):
Y  0.000  0.000  0.500
Y  0.000  0.500  0.000
Y  0.500  0.000  0.000
Re  0.500  0.500  0.500
Os  0.000  0.000  0.000

## Properties
energy of formation from the pure elements: 0.866 eV/atom
polymorph energy (0 for the lowest one): 0.00 eV/f.u.

***

[2]
Pb2AuO3 | PBE-GGA | relaxed

Cell: 3.541 4.394 13.132 Å, 90.00 90.00 90.00°
Positions (direct):
Pb  0.000  0.000  0.149
Pb  0.000  0.000  0.851
Pb  0.500  0.500  0.351
Pb  0.500  0.500  0.649
Au  0.000  0.000  0.500
Au  0.500  0.500  0.000
O  0.000  0.000  0.340
O  0.000  0.000  0.660
O  0.000  0.500  0.500
O  0.500  0.000  0.000
O  0.500  0.500  0.160
O  0.500  0.500  0.840

## Properties
formation energy from raw total energies: -0.602 eV per atom

***

[3]
Tm2ScZn | PBE-GGA | relaxed

Cell: 3.462 3.462 8.241 Å, 90.00 90.00 90.00°
Positions (direct):
Tm  0.000  0.000  0.217
Tm  0.000  0.000  0.783
Sc  0.500  0.500  0.500
Zn  0.500  0.500  0.000

## Properties
energy of formation from the pure elements: -0.152 eV/atom
polymorph energy (0 for the lowest one): 0.00 eV/f.u.

***

Short version: total energy = -7.748 -4.863 -4.289 eV/atom, in the order given.
Short version: N(E_F) = 4.9 1.3 4.4 states/eV/cell, in the order given.
Short version: magnetic moment = 2.63 0.00 0.00 Bohr magnetons per cell, in the order given.